# GGA-PBE MnFe2Re, relaxed
# relative energy among the computed polymorphs: 4.1 kJ/mol of atoms
data_MnFe2Re
_cell_length_a 4.089
_cell_length_b 2.556
_cell_length_c 4.872
_cell_angle_alpha 79.38
_cell_angle_beta 90.00
_cell_angle_gamma 90.00
_space_group_name_H-M_alt 'P 1'
_space_group_IT_number 1
loop_
_space_group_symop_operation_xyz
'x,y,z'
loop_
_atom_site_label
_atom_site_type_symbol
_atom_site_fract_x
_atom_site_fract_y
_atom_site_fract_z
_atom_site_occupancy
Fe1 Fe 0.000 0.011 0.010 1
Fe2 Fe 0.500 0.246 0.245 1
Mn1 Mn 0.000 0.489 0.499 1
Re1 Re 0.500 0.754 0.745 1

=====

# GGA-PBE MnFeRe2, relaxed
# relative energy among the computed polymorphs: 8.8 kJ/mol of atoms
data_MnFeRe2
_cell_length_a 2.609
_cell_length_b 2.609
_cell_length_c 8.339
_cell_angle_alpha 90.00
_cell_angle_beta 90.00
_cell_angle_gamma 107.01
_space_group_name_H-M_alt 'P 1'
_space_group_IT_number 1
loop_
_space_group_symop_operation_xyz
'x,y,z'
loop_
_atom_site_label
_atom_site_type_symbol
_atom_site_fract_x
_atom_site_fract_y
_atom_site_fract_z
_atom_site_occupancy
Fe1 Fe 0.500 0.500 0.250 1
Mn1 Mn 0.500 0.500 0.750 1
Re1 Re 0.000 0.000 0.997 1
Re2 Re 0.000 0.000 0.503 1

=====

# GGA-PBE MnFeRe2, relaxed
# relative energy among the computed polymorphs: 4.1 kJ/mol of atoms
data_MnFeRe2
_cell_length_a 3.036
_cell_length_b 3.036
_cell_length_c 5.829
_cell_angle_alpha 90.00
_cell_angle_beta 90.00
_cell_angle_gamma 90.00
_space_group_name_H-M_alt 'P 1'
_space_group_IT_number 1
loop_
_space_group_symop_operation_xyz
'x,y,z'
loop_
_atom_site_label
_atom_site_type_symbol
_atom_site_fract_x
_atom_site_fract_y
_atom_site_fract_z
_atom_site_occupancy
Fe1 Fe 0.000 0.000 0.511 1
Mn1 Mn 0.500 0.500 0.735 1
Re1 Re 0.000 0.000 0.991 1
Re2 Re 0.500 0.500 0.262 1

=====

# GGA-PBE MnFeRe2, relaxed
# relative energy among the computed polymorphs: 11.0 kJ/mol of atoms
data_MnFeRe2
_cell_length_a 2.928
_cell_length_b 2.928
_cell_length_c 6.232
_cell_angle_alpha 90.00
_cell_angle_beta 90.00
_cell_angle_gamma 90.00
_space_group_name_H-M_alt 'P 1'
_space_group_IT_number 1
loop_
_space_group_symop_operation_xyz
'x,y,z'
loop_
_atom_site_label
_atom_site_type_symbol
_atom_site_fract_x
_atom_site_fract_y
_atom_site_fract_z
_atom_site_occupancy
Fe1 Fe 0.500 0.500 0.250 1
Mn1 Mn 0.500 0.500 0.750 1
Re1 Re 0.000 0.000 0.002 1
Re2 Re 0.000 0.000 0.498 1

=====

The following is a DFT calculation (GGA-PBE) of an optimized crystal structure of Mn4FeRe.

CIF file:
```
data_Mn4FeRe
_cell_length_a 4.622
_cell_length_b 4.622
_cell_length_c 4.622
_cell_angle_alpha 60.00
_cell_angle_beta 60.00
_cell_angle_gamma 60.00
_space_group_name_H-M_alt 'P 1'
_space_group_IT_number 1
loop_
_space_group_symop_operation_xyz
'x,y,z'
loop_
_atom_site_label
_atom_site_type_symbol
_atom_site_fract_x
_atom_site_fract_y
_atom_site_fract_z
_atom_site_occupancy
Mn1 Mn 0.880 0.373 0.373 1
Mn2 Mn 0.373 0.373 0.880 1
Mn3 Mn 0.373 0.880 0.373 1
Mn4 Mn 0.373 0.373 0.373 1
Fe1 Fe 0.000 0.000 0.000 1
Re1 Re 0.750 0.750 0.750 1
```

=====

# GGA-PBE MnFeRe2, relaxed
# relative energy among the computed polymorphs: 77.6 kJ/mol of atoms
data_MnFeRe2
_cell_length_a 6.577
_cell_length_b 6.577
_cell_length_c 5.322
_cell_angle_alpha 51.83
_cell_angle_beta 51.83
_cell_angle_gamma 90.00
_space_group_name_H-M_alt 'P 1'
_space_group_IT_number 1
loop_
_space_group_symop_operation_xyz
'x,y,z'
loop_
_atom_site_label
_atom_site_type_symbol
_atom_site_fract_x
_atom_site_fract_y
_atom_site_fract_z
_atom_site_occupancy
Re1 Re 0.621 0.125 0.250 1
Re2 Re 0.129 0.625 0.250 1
Re3 Re 0.375 0.379 0.750 1
Re4 Re 0.875 0.871 0.750 1
Mn1 Mn 0.500 0.500 0.000 1
Mn2 Mn 0.250 0.750 0.500 1
Fe1 Fe 0.000 0.000 0.000 1
Fe2 Fe 0.750 0.250 0.500 1

=====

It is found that the spin magnetization values, taken in the order of the records, are 6.2, 4.4, 4.5, 4.5, 1.6, 0.0 μB per cell.
It is found that the calculated density values, taken in the order of the records, are 11.7, 14.8, 14.9, 15.0, 11.0, 14.3 g cm⁻³.
It is found that the DFT formation energy values, taken in the order of the records, are 28.9, 51.5, 32.4, 60.2, 31.3, 326.6 kJ/mol of formula units.